Compound: RbGaSb4
Source: Alexandria
Functional: PBE-GGA
Structure: relaxed

a = 8.514 Å, b = 8.514 Å, c = 7.382 Å
α = 95.44°, β = 95.44°, γ = 57.76°
Atoms (fractional coordinates):
Rb (0.183, 0.183, 0.285)
Rb (0.817, 0.817, 0.715)
Ga (0.414, 0.414, 0.620)
Ga (0.586, 0.586, 0.380)
Sb (0.236, 0.588, 0.099)
Sb (0.242, 0.758, 0.500)
Sb (0.276, 0.276, 0.814)
Sb (0.412, 0.764, 0.901)
Sb (0.588, 0.236, 0.099)
Sb (0.724, 0.724, 0.186)
Sb (0.758, 0.242, 0.500)
Sb (0.764, 0.412, 0.901)

Output
E_form (uncorrected) ... -0.3 eV per formula unit
Total magnetization ... 0.000 Bohr magnetons per cell